(1)
Here is crystalline TiTlCu at its relaxed geometry from Alexandria. Energies are from PBE.

Output
* total magnetization: 0.0 μB/f.u.
* crystal system: orthorhombic
* calculated formation energy: 0.130 eV/atom
* E_tot: -55.87 eV/cell

Lattice parameters (Å, degrees): 4.2009 11.6670 4.2563 90.00 90.00 90.00
With the nearest neighbours (Å) after each atom.
Space group Cmcm (No. 63)
Asymmetric unit:
1 Ti 0.0000 0.0935 0.2500 x4  4 Cu 2.78-2.81, 6 Tl 2.99-3.09, 2 Ti 3.05
2 Tl 0.0000 0.3992 0.2500 x4  4 Cu 2.73-2.75, 4 Ti 2.99
3 Cu 0.0000 0.2506 0.7500 x4  4 Tl 2.73-2.75, 4 Ti 2.78-2.81, 4 Cu 2.99


(2)
Here is crystalline TiTl2Cu at its relaxed geometry from Alexandria. Energies are from PBE.

Output
* excess energy over the best structure of this formula in the dataset: 4.5 kJ/mol of atoms
* total magnetization: 0.9 μB/f.u.
* crystal system: tetragonal
* calculated formation energy: 0.419 eV/atom
* E_tot: -60.18 eV/cell

Lattice parameters (Å, degrees): 7.5101 7.5101 6.0848 90.00 90.00 90.00
With the nearest neighbours (Å) after each atom.
Space group I-42d (No. 122)
Asymmetric unit:
1 Ti 0.0000 0.0000 0.0000 x4  4 Tl 2.89, 2 Cu 3.04
2 Tl 0.2252 0.2500 0.6250 x8  2 Cu 2.64, 2 Ti 2.89
3 Cu 0.0000 0.0000 0.5000 x4  4 Tl 2.64


(3)
Here is crystalline TiTlCu at its relaxed geometry from Alexandria. Energies are from PBE.

Output
* total magnetization: 0.7 μB/f.u.
* crystal system: tetragonal
* calculated formation energy: 0.432 eV/atom
* E_tot: -26.13 eV/cell

Lattice parameters (Å, degrees): 4.0557 4.0557 6.9673 90.00 90.00 90.00
With the nearest neighbours (Å) after each atom.
Space group P4/nmm (No. 129, origin choice 2)
Asymmetric unit:
1 Ti 0.2500 0.2500 0.1382 x2  1 Cu 2.44
2 Tl 0.2500 0.7500 0.5000 x2  4 Cu 2.85, 4 Tl 2.87
3 Cu 0.2500 0.2500 0.7883 x2  1 Ti 2.44


(4)
Here is crystalline TiTlCu at its relaxed geometry from Alexandria. Energies are from PBE.

Output
* total magnetization: 2.3 μB/f.u.
* crystal system: hexagonal
* calculated formation energy: 1.334 eV/atom
* E_tot: -20.71 eV/cell

Lattice parameters (Å, degrees): 4.3223 4.3223 11.0593 90.00 90.00 120.00
With the nearest neighbours (Å) after each atom.
Space group P6_3/mmc (No. 194)
Asymmetric unit:
1 Ti 0.0000 0.0000 0.0000 x2  2 Tl 2.76
2 Tl 0.0000 0.0000 0.2500 x2  3 Cu 2.50, 2 Ti 2.76
3 Cu 0.3333 0.6667 0.2500 x2  3 Tl 2.50


(5)
Here is crystalline TiTlCu2 at its relaxed geometry from Alexandria. Energies are from PBE.

Output
* total magnetization: 0.7 μB/f.u.
* crystal system: tetragonal
* calculated formation energy: 0.128 eV/atom
* E_tot: -17.94 eV/cell

Lattice parameters (Å, degrees): 3.3182 3.3182 6.0746 90.00 90.00 90.00
With the nearest neighbours (Å) after each atom.
Space group P4/mmm (No. 123)
Asymmetric unit:
1 Ti 0.0000 0.0000 0.0000 x1  8 Cu 2.68
2 Tl 0.0000 0.0000 0.5000 x1  8 Cu 2.93, 2 Ti 3.04
3 Cu 0.5000 0.5000 0.2116 x2  1 Cu 2.57, 4 Ti 2.68


(6)
Here is crystalline Ti2Tl2Cu at its relaxed geometry from Alexandria. Energies are from PBE.

Output
* total magnetization: 2.0 μB/f.u.
* crystal system: tetragonal
* calculated formation energy: 0.284 eV/atom
* E_tot: -46.40 eV/cell

Lattice parameters (Å, degrees): 6.6788 6.6788 4.5805 90.00 90.00 90.00
With the nearest neighbours (Å) after each atom.
Space group P4/mbm (No. 127)
Asymmetric unit:
1 Ti 0.1426 0.3574 0.0000 x4  2 Cu 2.57, 1 Ti 2.69
2 Tl 0.1687 0.6687 0.5000 x4  6 Ti 2.90-3.10, 1 Tl 3.19
3 Cu 0.0000 0.0000 0.0000 x2  4 Ti 2.57


(7)
Here is crystalline TiTlCu at its relaxed geometry from Alexandria. Energies are from PBE.

Output
* total magnetization: 0.0 μB/f.u.
* crystal system: triclinic
* calculated formation energy: 0.067 eV/atom
* E_tot: -28.31 eV/cell

Lattice parameters (Å, degrees): 3.3044 3.3056 10.4163 90.12 90.23 90.00
With the nearest neighbours (Å) after each atom.
Space group P-1 (No. 2)
Asymmetric unit:
1 Ti 0.2489 0.2494 0.4242 x2  5 Cu 2.67-2.87, 4 Ti 2.82
2 Tl 0.2455 0.2475 0.1220 x2  4 Cu 2.99, 1 Ti 3.15, 4 Tl 3.30-3.31
3 Cu 0.2531 0.2516 0.6994 x2  5 Ti 2.67-2.87, 2 Tl 2.99


(8)
Here is crystalline Ti2TlCu at its relaxed geometry from Alexandria. Energies are from PBE.

Output
* total magnetization: 0.0 μB/f.u.
* crystal system: tetragonal
* calculated formation energy: 0.075 eV/atom
* E_tot: -21.95 eV/cell

Lattice parameters (Å, degrees): 3.2094 3.2094 6.7375 90.00 90.00 90.00
With the nearest neighbours (Å) after each atom.
Space group P4/mmm (No. 123)
Asymmetric unit:
1 Ti 0.0000 0.0000 0.2146 x2  4 Cu 2.69, 1 Ti 2.89, 4 Tl 2.97
2 Tl 0.5000 0.5000 0.5000 x1  8 Ti 2.97, 4 Tl 3.21
3 Cu 0.5000 0.5000 0.0000 x1  8 Ti 2.69


(9)
Here is crystalline TiTlCu at its relaxed geometry from Alexandria. Energies are from PBE.

Output
* total magnetization: 1.0 μB/f.u.
* crystal system: orthorhombic
* calculated formation energy: 0.182 eV/atom
* E_tot: -55.24 eV/cell

Lattice parameters (Å, degrees): 5.9733 3.7624 9.7263 90.00 90.00 90.00
With the nearest neighbours (Å) after each atom.
Space group Pnma (No. 62)
Asymmetric unit:
1 Ti 0.1219 0.2500 0.0763 x4  3 Cu 2.69-2.94, 2 Ti 2.80, 1 Tl 2.98
2 Tl 0.1261 0.2500 0.3903 x4  4 Cu 2.78-2.79, 5 Ti 2.98-3.05
3 Cu 0.0886 0.2500 0.7747 x4  3 Ti 2.69-2.94, 4 Tl 2.78-2.79


(10)
Here is crystalline TiTlCu at its relaxed geometry from Alexandria. Energies are from PBE.

Output
* total magnetization: 0.0 μB/f.u.
* crystal system: monoclinic
* calculated formation energy: 0.146 eV/atom
* E_tot: -27.84 eV/cell

Lattice parameters (Å, degrees): 5.2425 3.0735 6.8156 90.00 92.05 90.00
With the nearest neighbours (Å) after each atom.
Space group P2_1/m (No. 11)
Asymmetric unit:
1 Ti 0.0752 0.2500 0.3369 x2  3 Cu 2.73-2.74, 2 Ti 2.84, 2 Tl 3.02
2 Tl 0.4186 0.2500 0.7139 x2  3 Cu 2.71-2.89, 2 Ti 3.02
3 Cu 0.1846 0.7500 0.0192 x2  2 Cu 2.48, 1 Tl 2.71, 3 Ti 2.73-2.74


(11)
Here is crystalline TiTlCu at its relaxed geometry from Alexandria. Energies are from PBE.

Output
* total magnetization: 0.8 μB/f.u.
* crystal system: tetragonal
* calculated formation energy: 0.153 eV/atom
* E_tot: -27.80 eV/cell

Lattice parameters (Å, degrees): 3.0856 3.0856 11.3117 90.00 90.00 90.00
With the nearest neighbours (Å) after each atom.
Space group I4mm (No. 107)
Asymmetric unit:
1 Ti 0.0000 0.0000 0.0000 x2  4 Cu 2.66
2 Tl 0.0000 0.0000 0.6960 x2  4 Cu 2.91, 4 Tl 3.09, 4 Ti 3.11
3 Cu 0.0000 0.0000 0.3659 x2  4 Ti 2.66, 4 Tl 2.91


(12)
Here is crystalline TiTlCu at its relaxed geometry from Alexandria. Energies are from PBE.

Output
* total magnetization: 0.0 μB/f.u.
* crystal system: monoclinic
* calculated formation energy: 0.056 eV/atom
* E_tot: -56.76 eV/cell

Lattice parameters (Å, degrees): 4.6126 4.6130 11.0547 90.00 101.98 90.00
With the nearest neighbours (Å) after each atom.
Space group C2 (No. 5)
Asymmetric unit:
1 Ti 0.2125 0.0000 0.4254 x4  5 Cu 2.67-2.96, 4 Ti 2.81-2.82
2 Tl 0.0700 0.0012 0.1368 x4  4 Cu 2.91-2.92, 1 Tl 2.96, 1 Ti 3.12
3 Cu 0.1508 0.4995 0.3014 x4  5 Ti 2.67-2.96, 4 Tl 2.91-2.92